i) ScNiHgAs: relaxed, PBE.

Structure (CIF):
```
data_ScNiHgAs
_chemical_formula_sum 'Sc4 Ni4 Hg4 As4'
_symmetry_space_group_name_H-M 'F -4 3 m'
_symmetry_Int_Tables_number 216
_symmetry_space_group_name_Hall 'F -4 2 3'
_cell_length_a 6.552
_cell_length_b 6.552
_cell_length_c 6.552
_cell_angle_alpha 90.00
_cell_angle_beta 90.00
_cell_angle_gamma 90.00
loop_
_atom_site_label
_atom_site_fract_x
_atom_site_fract_y
_atom_site_fract_z
Sc1 0.000 0.000 0.000
Ni1 0.000 0.000 0.500
Hg1 0.250 0.250 0.750
As1 0.250 0.250 0.250
```

M_tot = 0.0 μB/cell


ii) ScNiHgAs: relaxed, PBE.

Structure (CIF):
```
data_ScNiHgAs
_chemical_formula_sum 'Sc4 Ni4 Hg4 As4'
_symmetry_space_group_name_H-M 'F -4 3 m'
_symmetry_Int_Tables_number 216
_symmetry_space_group_name_Hall 'F -4 2 3'
_cell_length_a 6.620
_cell_length_b 6.620
_cell_length_c 6.620
_cell_angle_alpha 90.00
_cell_angle_beta 90.00
_cell_angle_gamma 90.00
loop_
_atom_site_label
_atom_site_fract_x
_atom_site_fract_y
_atom_site_fract_z
Sc1 0.000 0.000 0.000
Ni1 0.250 0.250 0.750
Hg1 0.250 0.250 0.250
As1 0.000 0.000 0.500
```

M_tot = 0.0 μB/cell


It is i) that is the most stable of them.


i) HgAsOsO: relaxed, PBE.

Structure (CIF):
```
data_HgAsOsO
_chemical_formula_sum 'Hg2 As2 Os2 O2'
_symmetry_space_group_name_H-M 'P 4/n m m'
_symmetry_Int_Tables_number 129
_cell_length_a 4.100
_cell_length_b 4.100
_cell_length_c 8.080
_cell_angle_alpha 90.00
_cell_angle_beta 90.00
_cell_angle_gamma 90.00
loop_
_symmetry_equiv_pos_as_xyz
'x,y,z'
'-x,-y,-z'
'-y+1/2,x,z'
'y+1/2,-x,-z'
'-x+1/2,-y+1/2,z'
'x+1/2,y+1/2,-z'
'y,-x+1/2,z'
'-y,x+1/2,-z'
'x+1/2,-y,-z'
'-x+1/2,y,z'
'-y,-x,-z'
'y,x,z'
'-x,y+1/2,-z'
'x,-y+1/2,z'
'y+1/2,x+1/2,-z'
'-y+1/2,-x+1/2,z'
loop_
_atom_site_label
_atom_site_fract_x
_atom_site_fract_y
_atom_site_fract_z
Hg1 0.250 0.250 0.126
As1 0.250 0.250 0.675
Os1 0.250 0.750 0.500
O1 0.250 0.750 0.000
```

M_tot = 0.4 μB/cell


ii) HgAsOsO: relaxed, PBE.

Structure (CIF):
```
data_HgAsOsO
_chemical_formula_sum 'Hg2 As2 Os2 O2'
_symmetry_space_group_name_H-M 'P 4/n m m'
_symmetry_Int_Tables_number 129
_cell_length_a 4.040
_cell_length_b 4.040
_cell_length_c 8.858
_cell_angle_alpha 90.00
_cell_angle_beta 90.00
_cell_angle_gamma 90.00
loop_
_symmetry_equiv_pos_as_xyz
'x,y,z'
'-x,-y,-z'
'-y+1/2,x,z'
'y+1/2,-x,-z'
'-x+1/2,-y+1/2,z'
'x+1/2,y+1/2,-z'
'y,-x+1/2,z'
'-y,x+1/2,-z'
'x+1/2,-y,-z'
'-x+1/2,y,z'
'-y,-x,-z'
'y,x,z'
'-x,y+1/2,-z'
'x,-y+1/2,z'
'y+1/2,x+1/2,-z'
'-y+1/2,-x+1/2,z'
loop_
_atom_site_label
_atom_site_fract_x
_atom_site_fract_y
_atom_site_fract_z
Hg1 0.250 0.750 0.000
As1 0.250 0.250 0.297
Os1 0.250 0.250 0.578
O1 0.250 0.750 0.500
```

M_tot = 0.0 μB/cell


iii) HgAsOsO: relaxed, PBE.

Structure (CIF):
```
data_HgAsOsO
_chemical_formula_sum 'Hg2 As2 Os2 O2'
_symmetry_space_group_name_H-M 'P m c 21'
_symmetry_Int_Tables_number 26
_symmetry_space_group_name_Hall 'P 2c -2'
_cell_length_a 3.695
_cell_length_b 8.989
_cell_length_c 5.001
_cell_angle_alpha 90.00
_cell_angle_beta 90.00
_cell_angle_gamma 90.00
loop_
_atom_site_label
_atom_site_fract_x
_atom_site_fract_y
_atom_site_fract_z
Hg1 0.000 0.082 0.000
As1 0.500 0.386 0.948
Os1 0.500 0.343 0.448
O1 0.000 0.324 0.450
```

M_tot = 0.0 μB/cell


It is iii) that is the most stable of them.


i) PaHgAsO: relaxed, PBE.

Structure (CIF):
```
data_PaHgAsO
_chemical_formula_sum 'Pa2 Hg2 As2 O2'
_symmetry_space_group_name_H-M 'P 4/n m m'
_symmetry_Int_Tables_number 129
_cell_length_a 6.074
_cell_length_b 6.074
_cell_length_c 4.853
_cell_angle_alpha 90.00
_cell_angle_beta 90.00
_cell_angle_gamma 90.00
loop_
_symmetry_equiv_pos_as_xyz
'x,y,z'
'-x,-y,-z'
'-y+1/2,x,z'
'y+1/2,-x,-z'
'-x+1/2,-y+1/2,z'
'x+1/2,y+1/2,-z'
'y,-x+1/2,z'
'-y,x+1/2,-z'
'x+1/2,-y,-z'
'-x+1/2,y,z'
'-y,-x,-z'
'y,x,z'
'-x,y+1/2,-z'
'x,-y+1/2,z'
'y+1/2,x+1/2,-z'
'-y+1/2,-x+1/2,z'
loop_
_atom_site_label
_atom_site_fract_x
_atom_site_fract_y
_atom_site_fract_z
Pa1 0.250 0.750 0.000
Hg1 0.250 0.250 0.468
As1 0.250 0.250 0.967
O1 0.250 0.750 0.500
```

M_tot = 2.4 μB/cell


ii) PaHgAsO: relaxed, PBE.

Structure (CIF):
```
data_PaHgAsO
_chemical_formula_sum 'Pa2 Hg2 As2 O2'
_symmetry_space_group_name_H-M 'P 4/n m m'
_symmetry_Int_Tables_number 129
_cell_length_a 4.045
_cell_length_b 4.045
_cell_length_c 10.004
_cell_angle_alpha 90.00
_cell_angle_beta 90.00
_cell_angle_gamma 90.00
loop_
_symmetry_equiv_pos_as_xyz
'x,y,z'
'-x,-y,-z'
'-y+1/2,x,z'
'y+1/2,-x,-z'
'-x+1/2,-y+1/2,z'
'x+1/2,y+1/2,-z'
'y,-x+1/2,z'
'-y,x+1/2,-z'
'x+1/2,-y,-z'
'-x+1/2,y,z'
'-y,-x,-z'
'y,x,z'
'-x,y+1/2,-z'
'x,-y+1/2,z'
'y+1/2,x+1/2,-z'
'-y+1/2,-x+1/2,z'
loop_
_atom_site_label
_atom_site_fract_x
_atom_site_fract_y
_atom_site_fract_z
Pa1 0.250 0.250 0.132
Hg1 0.250 0.750 0.500
As1 0.250 0.250 0.739
O1 0.250 0.750 0.000
```

M_tot = 1.8 μB/cell


It is ii) that is the most stable of them.


i) HgAsPbO: relaxed, PBE.

Structure (CIF):
```
data_HgAsPbO
_chemical_formula_sum 'Hg2 As2 Pb2 O2'
_symmetry_space_group_name_H-M 'P m c 21'
_symmetry_Int_Tables_number 26
_symmetry_space_group_name_Hall 'P 2c -2'
_cell_length_a 4.151
_cell_length_b 6.910
_cell_length_c 6.975
_cell_angle_alpha 90.00
_cell_angle_beta 90.00
_cell_angle_gamma 90.00
loop_
_atom_site_label
_atom_site_fract_x
_atom_site_fract_y
_atom_site_fract_z
Hg1 0.000 0.192 0.000
As1 0.000 0.166 0.378
Pb1 0.500 0.356 0.563
O1 0.500 0.364 0.898
```


ii) HgAsPbO: relaxed, PBE.

Structure (CIF):
```
data_HgAsPbO
_chemical_formula_sum 'Hg2 As2 Pb2 O2'
_symmetry_space_group_name_H-M 'P 4/n m m'
_symmetry_Int_Tables_number 129
_cell_length_a 4.179
_cell_length_b 4.179
_cell_length_c 10.148
_cell_angle_alpha 90.00
_cell_angle_beta 90.00
_cell_angle_gamma 90.00
loop_
_symmetry_equiv_pos_as_xyz
'x,y,z'
'-x,-y,-z'
'-y+1/2,x,z'
'y+1/2,-x,-z'
'-x+1/2,-y+1/2,z'
'x+1/2,y+1/2,-z'
'y,-x+1/2,z'
'-y,x+1/2,-z'
'x+1/2,-y,-z'
'-x+1/2,y,z'
'-y,-x,-z'
'y,x,z'
'-x,y+1/2,-z'
'x,-y+1/2,z'
'y+1/2,x+1/2,-z'
'-y+1/2,-x+1/2,z'
loop_
_atom_site_label
_atom_site_fract_x
_atom_site_fract_y
_atom_site_fract_z
Hg1 0.250 0.750 0.000
As1 0.250 0.250 0.183
Pb1 0.250 0.250 0.613
O1 0.250 0.750 0.500
```


iii) HgAsPbO: relaxed, PBE.

Structure (CIF):
```
data_HgAsPbO
_chemical_formula_sum 'Hg2 As2 Pb2 O2'
_symmetry_space_group_name_H-M 'P m c 21'
_symmetry_Int_Tables_number 26
_symmetry_space_group_name_Hall 'P 2c -2'
_cell_length_a 4.497
_cell_length_b 6.497
_cell_length_c 6.542
_cell_angle_alpha 90.00
_cell_angle_beta 90.00
_cell_angle_gamma 90.00
loop_
_atom_site_label
_atom_site_fract_x
_atom_site_fract_y
_atom_site_fract_z
Hg1 0.000 0.186 0.000
As1 0.500 0.309 0.858
Pb1 0.500 0.260 0.430
O1 0.000 0.173 0.370
```


iv) HgAsPbO: relaxed, PBE.

Structure (CIF):
```
data_HgAsPbO
_chemical_formula_sum 'Hg2 As2 Pb2 O2'
_symmetry_space_group_name_H-M 'P 4/n m m'
_symmetry_Int_Tables_number 129
_cell_length_a 4.765
_cell_length_b 4.765
_cell_length_c 8.795
_cell_angle_alpha 90.00
_cell_angle_beta 90.00
_cell_angle_gamma 90.00
loop_
_symmetry_equiv_pos_as_xyz
'x,y,z'
'-x,-y,-z'
'-y+1/2,x,z'
'y+1/2,-x,-z'
'-x+1/2,-y+1/2,z'
'x+1/2,y+1/2,-z'
'y,-x+1/2,z'
'-y,x+1/2,-z'
'x+1/2,-y,-z'
'-x+1/2,y,z'
'-y,-x,-z'
'y,x,z'
'-x,y+1/2,-z'
'x,-y+1/2,z'
'y+1/2,x+1/2,-z'
'-y+1/2,-x+1/2,z'
loop_
_atom_site_label
_atom_site_fract_x
_atom_site_fract_y
_atom_site_fract_z
Hg1 0.250 0.250 0.019
As1 0.250 0.250 0.685
Pb1 0.250 0.750 0.500
O1 0.250 0.750 0.000
```


It is ii) that is the most stable of them.


i) HgAsPdO: relaxed, PBE.

Structure (CIF):
```
data_HgAsPdO
_chemical_formula_sum 'Hg2 As2 Pd2 O2'
_symmetry_space_group_name_H-M 'P m c 21'
_symmetry_Int_Tables_number 26
_symmetry_space_group_name_Hall 'P 2c -2'
_cell_length_a 3.487
_cell_length_b 6.755
_cell_length_c 6.158
_cell_angle_alpha 90.00
_cell_angle_beta 90.00
_cell_angle_gamma 90.00
loop_
_atom_site_label
_atom_site_fract_x
_atom_site_fract_y
_atom_site_fract_z
Hg1 0.000 0.055 0.000
As1 0.000 0.330 0.492
Pd1 0.500 0.500 0.242
O1 0.500 0.288 0.993
```


ii) HgAsPdO: relaxed, PBE.

Structure (CIF):
```
data_HgAsPdO
_chemical_formula_sum 'Hg2 As2 Pd2 O2'
_symmetry_space_group_name_H-M 'P 4/n m m'
_symmetry_Int_Tables_number 129
_cell_length_a 4.269
_cell_length_b 4.269
_cell_length_c 9.146
_cell_angle_alpha 90.00
_cell_angle_beta 90.00
_cell_angle_gamma 90.00
loop_
_symmetry_equiv_pos_as_xyz
'x,y,z'
'-x,-y,-z'
'-y+1/2,x,z'
'y+1/2,-x,-z'
'-x+1/2,-y+1/2,z'
'x+1/2,y+1/2,-z'
'y,-x+1/2,z'
'-y,x+1/2,-z'
'x+1/2,-y,-z'
'-x+1/2,y,z'
'-y,-x,-z'
'y,x,z'
'-x,y+1/2,-z'
'x,-y+1/2,z'
'y+1/2,x+1/2,-z'
'-y+1/2,-x+1/2,z'
loop_
_atom_site_label
_atom_site_fract_x
_atom_site_fract_y
_atom_site_fract_z
Hg1 0.250 0.750 0.000
As1 0.250 0.250 0.194
Pd1 0.250 0.250 0.456
O1 0.250 0.750 0.500
```


It is i) that is the most stable of them.


i) HgAsPdO: relaxed, PBE.

Structure (CIF):
```
data_HgAsPdO
_chemical_formula_sum 'Hg2 As2 Pd2 O2'
_symmetry_space_group_name_H-M 'P 4/n m m'
_symmetry_Int_Tables_number 129
_cell_length_a 4.357
_cell_length_b 4.357
_cell_length_c 7.313
_cell_angle_alpha 90.00
_cell_angle_beta 90.00
_cell_angle_gamma 90.00
loop_
_symmetry_equiv_pos_as_xyz
'x,y,z'
'-x,-y,-z'
'-y+1/2,x,z'
'y+1/2,-x,-z'
'-x+1/2,-y+1/2,z'
'x+1/2,y+1/2,-z'
'y,-x+1/2,z'
'-y,x+1/2,-z'
'x+1/2,-y,-z'
'-x+1/2,y,z'
'-y,-x,-z'
'y,x,z'
'-x,y+1/2,-z'
'x,-y+1/2,z'
'y+1/2,x+1/2,-z'
'-y+1/2,-x+1/2,z'
loop_
_atom_site_label
_atom_site_fract_x
_atom_site_fract_y
_atom_site_fract_z
Hg1 0.250 0.250 0.115
As1 0.250 0.250 0.668
Pd1 0.250 0.750 0.500
O1 0.250 0.750 0.000
```


ii) HgAsPdO: relaxed, PBE.

Structure (CIF):
```
data_HgAsPdO
_chemical_formula_sum 'Hg2 As2 Pd2 O2'
_symmetry_space_group_name_H-M 'P m c 21'
_symmetry_Int_Tables_number 26
_symmetry_space_group_name_Hall 'P 2c -2'
_cell_length_a 4.045
_cell_length_b 6.258
_cell_length_c 6.065
_cell_angle_alpha 90.00
_cell_angle_beta 90.00
_cell_angle_gamma 90.00
loop_
_atom_site_label
_atom_site_fract_x
_atom_site_fract_y
_atom_site_fract_z
Hg1 0.000 0.190 0.000
As1 0.500 0.384 0.799
Pd1 0.500 0.240 0.422
O1 0.000 0.175 0.393
```


It is i) that is the most stable of them.


i) HgAsPtO: relaxed, PBE.

Structure (CIF):
```
data_HgAsPtO
_chemical_formula_sum 'Hg2 As2 Pt2 O2'
_symmetry_space_group_name_H-M 'P 4/n m m'
_symmetry_Int_Tables_number 129
_cell_length_a 4.100
_cell_length_b 4.100
_cell_length_c 8.431
_cell_angle_alpha 90.00
_cell_angle_beta 90.00
_cell_angle_gamma 90.00
loop_
_symmetry_equiv_pos_as_xyz
'x,y,z'
'-x,-y,-z'
'-y+1/2,x,z'
'y+1/2,-x,-z'
'-x+1/2,-y+1/2,z'
'x+1/2,y+1/2,-z'
'y,-x+1/2,z'
'-y,x+1/2,-z'
'x+1/2,-y,-z'
'-x+1/2,y,z'
'-y,-x,-z'
'y,x,z'
'-x,y+1/2,-z'
'x,-y+1/2,z'
'y+1/2,x+1/2,-z'
'-y+1/2,-x+1/2,z'
loop_
_atom_site_label
_atom_site_fract_x
_atom_site_fract_y
_atom_site_fract_z
Hg1 0.250 0.750 0.000
As1 0.250 0.250 0.249
Pt1 0.250 0.250 0.588
O1 0.250 0.750 0.500
```

M_tot = 0.0 μB/cell


ii) HgAsPtO: relaxed, PBE.

Structure (CIF):
```
data_HgAsPtO
_chemical_formula_sum 'Hg2 As2 Pt2 O2'
_symmetry_space_group_name_H-M 'P m c 21'
_symmetry_Int_Tables_number 26
_symmetry_space_group_name_Hall 'P 2c -2'
_cell_length_a 3.452
_cell_length_b 6.850
_cell_length_c 6.264
_cell_angle_alpha 90.00
_cell_angle_beta 90.00
_cell_angle_gamma 90.00
loop_
_atom_site_label
_atom_site_fract_x
_atom_site_fract_y
_atom_site_fract_z
Hg1 0.000 0.055 0.000
As1 0.000 0.332 0.503
Pt1 0.500 0.499 0.252
O1 0.500 0.298 0.001
```

M_tot = 0.0 μB/cell


It is ii) that is the most stable of them.


i) HgSbAsO: relaxed, PBE.

Structure (CIF):
```
data_HgSbAsO
_chemical_formula_sum 'Hg2 Sb2 As2 O2'
_symmetry_space_group_name_H-M 'P m c 21'
_symmetry_Int_Tables_number 26
_symmetry_space_group_name_Hall 'P 2c -2'
_cell_length_a 3.848
_cell_length_b 7.175
_cell_length_c 6.882
_cell_angle_alpha 90.00
_cell_angle_beta 90.00
_cell_angle_gamma 90.00
loop_
_atom_site_label
_atom_site_fract_x
_atom_site_fract_y
_atom_site_fract_z
Hg1 0.000 0.177 0.000
Sb1 0.500 0.383 0.550
As1 0.000 0.180 0.379
O1 0.500 0.261 0.809
```


ii) HgSbAsO: relaxed, PBE.

Structure (CIF):
```
data_HgSbAsO
_chemical_formula_sum 'Hg2 Sb2 As2 O2'
_symmetry_space_group_name_H-M 'P 4/n m m'
_symmetry_Int_Tables_number 129
_cell_length_a 4.080
_cell_length_b 4.080
_cell_length_c 9.312
_cell_angle_alpha 90.00
_cell_angle_beta 90.00
_cell_angle_gamma 90.00
loop_
_symmetry_equiv_pos_as_xyz
'x,y,z'
'-x,-y,-z'
'-y+1/2,x,z'
'y+1/2,-x,-z'
'-x+1/2,-y+1/2,z'
'x+1/2,y+1/2,-z'
'y,-x+1/2,z'
'-y,x+1/2,-z'
'x+1/2,-y,-z'
'-x+1/2,y,z'
'-y,-x,-z'
'y,x,z'
'-x,y+1/2,-z'
'x,-y+1/2,z'
'y+1/2,x+1/2,-z'
'-y+1/2,-x+1/2,z'
loop_
_atom_site_label
_atom_site_fract_x
_atom_site_fract_y
_atom_site_fract_z
Hg1 0.250 0.750 0.000
Sb1 0.250 0.250 0.379
As1 0.250 0.250 0.788
O1 0.250 0.750 0.500
```


It is i) that is the most stable of them.